VASP calculation (PBE-GGA) on a relaxed Pm2Nd2Si4Ir crystal.

Cell lengths 6.589, 6.589, 6.589 Å; angles 115.92, 115.92, 97.22 degrees
Positions (direct):
1 Pm 0.186 0.186 0.000
2 Pm 0.814 0.814 0.000
3 Nd 0.250 0.750 0.500
4 Nd 0.750 0.250 0.500
5 Si 0.257 0.257 0.515
6 Si 0.257 0.743 0.000
7 Si 0.743 0.257 0.000
8 Si 0.743 0.743 0.485
9 Ir 0.500 0.500 0.000

Properties
N(E_F) (states/eV/cell): 8.79
Crystal system: tetragonal
Formation energy without anion corrections (eV/atom): -0.377



VASP calculation (PBE-GGA) on a relaxed TlSi2Au crystal.

Cell lengths 3.526, 3.525, 6.697 Å; angles 90.00, 90.00, 90.00 degrees
Positions (direct):
1 Tl 0.000 0.000 0.000
2 Si 0.496 0.000 0.419
3 Si 0.997 0.500 0.419
4 Au 0.500 0.500 0.727

Properties
N(E_F) (states/eV/cell): 1.49
Crystal system: monoclinic
Relative energy among the computed polymorphs (eV per atom): 0.084
Formation energy without anion corrections (eV/atom): 0.254



VASP calculation (PBE-GGA) on a relaxed MgAlGa2Pt4 crystal.

Cell lengths 7.873, 7.873, 7.873 Å; angles 32.27, 32.27, 32.27 degrees
Positions (direct):
1 Mg 0.000 0.000 0.000
2 Al 0.500 0.500 0.500
3 Ga 0.258 0.258 0.258
4 Ga 0.742 0.742 0.742
5 Pt 0.131 0.131 0.131
6 Pt 0.389 0.389 0.389
7 Pt 0.611 0.611 0.611
8 Pt 0.869 0.869 0.869

Properties
E_form (eV per atom): -0.76
N(E_F) (states/eV/cell): 1.83
Crystal system: trigonal



VASP calculation (PBE-GGA) on a relaxed PmHoTl4 crystal.

Cell lengths 3.814, 5.086, 8.740 Å; angles 90.00, 90.03, 90.00 degrees
Positions (direct):
1 Pm 0.000 0.000 0.000
2 Ho 0.002 0.500 0.500
3 Tl 0.350 0.000 0.337
4 Tl 0.369 0.500 0.830
5 Tl 0.633 0.500 0.171
6 Tl 0.650 0.000 0.663

Properties
E_form (eV per atom): -0.23
N(E_F) (states/eV/cell): 3.13
Crystal system: monoclinic